1.
VASP calculation (GGA-PBE) on crystalline SmC4 at its relaxed geometry.

Energy   -20.56 eV per cell
Calculated formation energy   406.4 kJ per mole of atoms

```
data_SmC4
_space_group_name_H-M_alt 'P m -3 m'
_space_group_IT_number 221
_space_group_name_Hall '-P 4 2 3'
_cell_length_a 4.585
_cell_length_b 4.585
_cell_length_c 4.585
_cell_angle_alpha 90.00
_cell_angle_beta 90.00
_cell_angle_gamma 90.00
loop_
_atom_site_label
_atom_site_type_symbol
_atom_site_fract_x
_atom_site_fract_y
_atom_site_fract_z
Sm1 Sm 0.000 0.000 0.000
C1 C 0.000 0.000 0.500
C2 C 0.500 0.500 0.500
```


2.
VASP calculation (GGA-PBE) on crystalline Sm3C at its relaxed geometry.

Energy   -45.85 eV per cell
Calculated formation energy   11.0 kJ per mole of atoms

```
data_Sm3C
_space_group_name_H-M_alt 'I m m 2'
_space_group_IT_number 44
_space_group_name_Hall 'I 2 -2'
_cell_length_a 3.399
_cell_length_b 10.274
_cell_length_c 6.147
_cell_angle_alpha 90.00
_cell_angle_beta 90.00
_cell_angle_gamma 90.00
loop_
_atom_site_label
_atom_site_type_symbol
_atom_site_fract_x
_atom_site_fract_y
_atom_site_fract_z
Sm1 Sm 0.000 0.000 0.000
Sm2 Sm 0.000 0.162 0.458
C1 C 0.000 0.500 0.799
```


3.
VASP calculation (GGA-PBE) on crystalline Sm2C at its relaxed geometry.

Energy   -73.04 eV per cell
Calculated formation energy   12.9 kJ per mole of atoms

```
data_Sm2C
_space_group_name_H-M_alt 'F m m 2'
_space_group_IT_number 42
_space_group_name_Hall 'F 2 -2'
_cell_length_a 3.611
_cell_length_b 12.855
_cell_length_c 6.286
_cell_angle_alpha 90.00
_cell_angle_beta 90.00
_cell_angle_gamma 90.00
loop_
_atom_site_label
_atom_site_type_symbol
_atom_site_fract_x
_atom_site_fract_y
_atom_site_fract_z
Sm1 Sm 0.000 0.114 0.000
C1 C 0.000 0.000 0.663
```


4.
VASP calculation (GGA-PBE) on crystalline SmC3 at its relaxed geometry.

Energy   -59.67 eV per cell
Calculated formation energy   61.6 kJ per mole of atoms

```
data_SmC3
_space_group_name_H-M_alt 'P 63/m m c'
_space_group_IT_number 194
_space_group_name_Hall '-P 6c 2c'
_cell_length_a 5.0201
_cell_length_b 5.0201
_cell_length_c 5.3889
_cell_angle_alpha 90.00
_cell_angle_beta 90.00
_cell_angle_gamma 120.00
loop_
_atom_site_label
_atom_site_type_symbol
_atom_site_fract_x
_atom_site_fract_y
_atom_site_fract_z
Sm1 Sm 0.3333 0.6667 0.2500
C1 C 0.2366 0.4733 0.7500
```